# 1
Compound: KTlIr2
Source: the Alexandria database
Functional: PBE-GGA
Structure: optimized geometry

Unit cell a=11.2857 b=11.2857 c=11.2857 alpha=14.56 beta=14.56 gamma=14.56
With the nearest neighbours (Å) after each atom.
Positions (direct):
Ir 0.0004 0.0004 0.0004  6 Ir 2.86
Ir 0.4996 0.4996 0.4996  6 Ir 2.86
K 0.2500 0.2500 0.2500  6 K 2.86
Tl 0.7500 0.7500 0.7500  6 Tl 2.86

The raw total energy is -4.4222 eV per atom. The space-group type is R-3m, No. 166. For the formation energy, the calculation gives 3.50 eV per formula unit.

***

# 2
Compound: TcSb2Te
Source: the Alexandria database
Functional: PBE-GGA
Structure: optimized geometry

Unit cell a=3.2310 b=3.2310 c=9.4481 alpha=90.00 beta=90.00 gamma=90.00
With the nearest neighbours (Å) after each atom.
Positions (direct):
Sb 0.0000 0.0000 0.0758  4 Tc 2.82
Sb 0.0000 0.0000 0.4242  4 Tc 2.82
Tc 0.5000 0.5000 0.2500  8 Sb 2.82
Te 0.5000 0.5000 0.7500  4 Te 3.23

The raw total energy is -5.3794 eV per atom. The space-group type is P4/mmm, No. 123. The value obtained for the raw formation energy is 0.0587 eV per atom.

***

# 3
Compound: SrPmGa2
Source: the Alexandria database
Functional: PBE-GGA
Structure: optimized geometry

Unit cell a=4.2819 b=8.2779 c=7.3908 alpha=90.00 beta=90.00 gamma=104.97
With the nearest neighbours (Å) after each atom.
Positions (direct):
Sr 0.3990 0.7987 0.7500  6 Ga 3.28-3.58
Sr 0.6010 0.2013 0.2500  6 Ga 3.28-3.58
Pm 0.8766 0.7533 0.2500  6 Ga 3.09-3.29
Pm 0.1234 0.2467 0.7500  6 Ga 3.09-3.29
Ga 0.2616 0.5233 0.4206  3 Ga 2.47-2.52
Ga 0.7384 0.4767 0.5794  3 Ga 2.47-2.52
Ga 0.2616 0.5233 0.0794  3 Ga 2.47-2.52
Ga 0.7384 0.4767 0.9206  3 Ga 2.47-2.52

The raw total energy is -3.4544 eV per atom. The space-group type is P2_1/m, No. 11. For the formation energy, the calculation gives -1.33 eV per formula unit.

***

# 4
Compound: GdCdFe4
Source: the Alexandria database
Functional: PBE-GGA
Structure: optimized geometry

Unit cell a=6.1571 b=6.1571 c=6.1571 alpha=60.00 beta=60.00 gamma=60.00
With the nearest neighbours (Å) after each atom.
Positions (direct):
Gd 0.2500 0.2500 0.2500  4 Fe 2.38
Fe 0.4075 0.4075 0.7775  3 Fe 2.28, 1 Gd 2.38
Fe 0.4075 0.7775 0.4075  3 Fe 2.28, 1 Gd 2.38
Fe 0.4075 0.4075 0.4075  3 Fe 2.28, 1 Gd 2.38
Fe 0.7775 0.4075 0.4075  3 Fe 2.28, 1 Gd 2.38
Cd 0.0000 0.0000 0.0000  12 Fe 3.73, 4 Gd 3.77

The raw total energy is -6.3877 eV per atom. The space-group type is F-43m, No. 216. For the formation energy, the calculation gives 10.52 eV per formula unit.